# 1
{
  "formula": "Zr2AlGaCu2",
  "functional": "PBE",
  "state": "relaxed",
  "crystal_system": "monoclinic",
  "cell": [[-6.729, -1.800, -7.749], [3.191, 0.162, -2.808], [3.642, -9.070, 3.615]],
  "species": ["Al", "Al", "Al", "Al", "Zr", "Zr", "Zr", "Zr", "Zr", "Zr", "Zr", "Zr", "Ga", "Ga", "Ga", "Ga", "Cu", "Cu", "Cu", "Cu", "Cu", "Cu", "Cu", "Cu"],
  "fractional_positions": [[0.250, 0.000, 0.500], [0.750, 0.000, 0.000], [0.499, 0.000, 0.250], [0.125, 0.500, 0.125], [0.875, 0.500, 0.873], [0.376, 0.500, 0.376], [0.124, 0.500, 0.626], [0.999, 0.000, 0.251], [0.625, 0.500, 0.125], [0.751, 0.000, 0.501], [0.250, 0.000, 0.997], [0.500, 0.000, 0.750], [0.875, 0.500, 0.375], [0.625, 0.500, 0.625], [0.000, 0.000, 0.750], [0.375, 0.500, 0.875], [0.748, 0.000, 0.249], [0.374, 0.500, 0.126], [0.250, 0.000, 0.748], [0.875, 0.500, 0.624], [0.626, 0.500, 0.876], [0.500, 0.000, 0.500], [0.126, 0.500, 0.376], [0.000, 0.000, 0.002]]
}

=====

# 2
{
  "formula": "Zr2AlGaCu4",
  "functional": "PBE",
  "state": "relaxed",
  "crystal_system": "trigonal",
  "cell": [[4.214, 0.000, 0.000], [-2.107, 3.650, 0.000], [0.000, 0.000, 8.075]],
  "species": ["Zr", "Zr", "Cu", "Cu", "Cu", "Cu", "Al", "Ga"],
  "fractional_positions": [[0.667, 0.333, 0.749], [0.333, 0.667, 0.251], [0.667, 0.333, 0.408], [0.333, 0.667, 0.912], [0.333, 0.667, 0.592], [0.667, 0.333, 0.088], [0.000, 0.000, 0.000], [0.000, 0.000, 0.500]]
}

=====

# 3
{
  "formula": "GdAl2Cu2",
  "functional": "PBE",
  "state": "relaxed",
  "crystal_system": "tetragonal",
  "cell": [[-2.014, 2.014, 5.367], [2.014, -2.014, 5.367], [2.014, 2.014, -5.367]],
  "species": ["Gd", "Al", "Al", "Cu", "Cu"],
  "fractional_positions": [[0.000, 0.000, 0.000], [0.250, 0.750, 0.500], [0.750, 0.250, 0.500], [0.613, 0.613, 0.000], [0.387, 0.387, 0.000]]
}

=====

# 4
{
  "formula": "GdAl3Cu",
  "functional": "PBE",
  "state": "relaxed",
  "crystal_system": "tetragonal",
  "cell": [[1.166, 4.960, 3.312], [-4.356, 2.932, 3.059], [2.108, -5.638, -0.832]],
  "species": ["Al", "Al", "Al", "Cu", "Gd"],
  "fractional_positions": [[0.408, 0.408, 0.000], [0.249, 0.749, 0.500], [0.749, 0.249, 0.500], [0.629, 0.629, 0.000], [0.000, 0.000, 0.000]]
}

=====

# 5
{
  "formula": "Gd3Al3Cu2Ge",
  "functional": "PBE",
  "state": "relaxed",
  "crystal_system": "hexagonal",
  "cell": [[-2.300, 4.557, 5.260], [3.394, -6.245, 1.788], [3.449, 1.848, -0.093]],
  "species": ["Cu", "Cu", "Al", "Al", "Al", "Gd", "Gd", "Gd", "Ge"],
  "fractional_positions": [[0.333, 0.667, 0.000], [0.667, 0.333, 0.000], [0.741, 0.741, 0.000], [0.259, 0.000, 0.000], [0.000, 0.259, 0.000], [0.000, 0.601, 0.500], [0.399, 0.399, 0.500], [0.601, 0.000, 0.500], [0.000, 0.000, 0.500]]
}

=====

# 6
{
  "formula": "TbGd2Al3CuGe2",
  "functional": "PBE",
  "state": "relaxed",
  "crystal_system": "orthorhombic",
  "cell": [[-2.217, -2.808, 2.188], [3.028, -5.223, -3.635], [2.955, 2.315, 5.965]],
  "species": ["Ge", "Ge", "Al", "Al", "Al", "Cu", "Tb", "Gd", "Gd"],
  "fractional_positions": [[0.500, 0.333, 0.666], [0.500, 0.666, 0.333], [0.500, 0.232, 0.000], [0.500, 0.768, 0.768], [0.500, 0.000, 0.232], [0.000, 0.000, 0.000], [0.000, 0.403, 0.403], [0.000, 0.597, 0.000], [0.000, 0.000, 0.597]]
}

=====

# 7
{
  "formula": "GdTm2Al3CuGe2",
  "functional": "PBE",
  "state": "relaxed",
  "crystal_system": "orthorhombic",
  "cell": [[4.158, 0.000, 0.000], [0.000, 6.053, 3.483], [0.000, -6.053, 3.483]],
  "species": ["Al", "Al", "Al", "Tm", "Tm", "Gd", "Cu", "Ge", "Ge"],
  "fractional_positions": [[0.500, 0.001, 0.768], [0.500, 0.232, 0.232], [0.500, 0.768, 0.001], [0.000, 0.402, 0.999], [0.000, 0.999, 0.402], [0.000, 0.596, 0.596], [0.000, 0.005, 0.005], [0.500, 0.668, 0.329], [0.500, 0.329, 0.668]]
}

=====

# 8
{
  "formula": "GdY2Al3CuGe2",
  "functional": "PBE",
  "state": "relaxed",
  "crystal_system": "orthorhombic",
  "cell": [[-3.065, -1.539, -2.399], [-4.731, 1.813, 4.881], [1.712, 4.536, -5.098]],
  "species": ["Cu", "Ge", "Ge", "Al", "Al", "Al", "Gd", "Y", "Y"],
  "fractional_positions": [[0.000, 0.000, 0.000], [0.500, 0.333, 0.667], [0.500, 0.667, 0.333], [0.500, 0.232, 0.232], [0.500, 0.000, 0.768], [0.500, 0.768, 0.000], [0.000, 0.597, 0.597], [0.000, 0.403, 0.000], [0.000, 0.000, 0.403]]
}

=====

# 9
{
  "formula": "Gd2YAl3CuGe2",
  "functional": "PBE",
  "state": "relaxed",
  "crystal_system": "orthorhombic",
  "cell": [[-0.369, -3.151, 2.754], [4.949, 2.948, 4.035], [-6.768, 1.646, 0.977]],
  "species": ["Al", "Al", "Al", "Gd", "Gd", "Ge", "Ge", "Y", "Cu"],
  "fractional_positions": [[0.500, 0.000, 0.232], [0.500, 0.232, 0.000], [0.500, 0.768, 0.768], [0.000, 0.000, 0.597], [0.000, 0.597, 0.000], [0.500, 0.666, 0.334], [0.500, 0.334, 0.666], [0.000, 0.403, 0.403], [0.000, 0.001, 0.001]]
}

=====

# 10
{
  "formula": "Gd2HfAl3Cu2Ni",
  "functional": "PBE",
  "state": "relaxed",
  "crystal_system": "orthorhombic",
  "cell": [[-2.121, -1.631, -2.872], [-4.439, -2.531, 4.715], [-1.003, 6.274, -2.823]],
  "species": ["Cu", "Cu", "Ni", "Al", "Al", "Al", "Gd", "Gd", "Hf"],
  "fractional_positions": [[0.500, 0.347, 0.662], [0.500, 0.662, 0.347], [0.000, 0.987, 0.987], [0.500, 0.241, 0.241], [0.500, 0.990, 0.764], [0.500, 0.764, 0.990], [0.000, 0.413, 0.001], [0.000, 0.001, 0.413], [0.000, 0.595, 0.595]]
}

=====

# 11
{
  "formula": "GdHf2Al3Cu2Ni",
  "functional": "PBE",
  "state": "relaxed",
  "crystal_system": "orthorhombic",
  "cell": [[-3.330, 1.507, -1.725], [-2.551, 1.223, 5.992], [3.668, 4.580, -3.078]],
  "species": ["Hf", "Hf", "Ni", "Cu", "Cu", "Al", "Al", "Al", "Gd"],
  "fractional_positions": [[0.000, 0.595, 0.004], [0.000, 0.004, 0.595], [0.000, 0.985, 0.985], [0.500, 0.676, 0.331], [0.500, 0.331, 0.676], [0.500, 0.764, 0.764], [0.500, 0.239, 0.994], [0.500, 0.994, 0.239], [0.000, 0.413, 0.413]]
}

=====

# 12
{
  "formula": "GdHo2Al7Cu2",
  "functional": "PBE",
  "state": "relaxed",
  "crystal_system": "trigonal",
  "cell": [[-5.430, 6.208, 3.740], [-2.546, 3.878, 7.777], [-0.254, 7.761, 4.660]],
  "species": ["Ho", "Ho", "Al", "Al", "Al", "Al", "Al", "Al", "Al", "Cu", "Cu", "Gd"],
  "fractional_positions": [[0.858, 0.858, 0.858], [0.142, 0.142, 0.142], [0.582, 0.073, 0.582], [0.073, 0.582, 0.582], [0.582, 0.582, 0.073], [0.500, 0.500, 0.500], [0.418, 0.418, 0.927], [0.418, 0.927, 0.418], [0.927, 0.418, 0.418], [0.665, 0.665, 0.665], [0.335, 0.335, 0.335], [0.000, 0.000, 0.000]]
}

=====

# 13
{
  "formula": "GdHoAl4Cu2",
  "functional": "PBE",
  "state": "relaxed",
  "crystal_system": "orthorhombic",
  "cell": [[-4.982, -4.000, 2.273], [0.748, 1.948, 5.070], [-2.066, 4.197, 2.858]],
  "species": ["Al", "Al", "Al", "Al", "Gd", "Ho", "Cu", "Cu"],
  "fractional_positions": [[0.197, 0.139, 0.139], [0.803, 0.139, 0.139], [0.304, 0.861, 0.861], [0.696, 0.861, 0.861], [0.000, 0.428, 0.428], [0.500, 0.572, 0.572], [0.500, 0.288, 0.288], [0.000, 0.712, 0.712]]
}

=====

# 14
{
  "formula": "Gd2HoAl7Cu2",
  "functional": "PBE",
  "state": "relaxed",
  "crystal_system": "trigonal",
  "cell": [[2.751, 1.588, 8.500], [-2.751, 1.588, 8.500], [0.000, -3.176, 8.500]],
  "species": ["Al", "Al", "Al", "Al", "Al", "Al", "Al", "Ho", "Gd", "Gd", "Cu", "Cu"],
  "fractional_positions": [[0.072, 0.582, 0.582], [0.418, 0.418, 0.928], [0.582, 0.072, 0.582], [0.500, 0.500, 0.500], [0.418, 0.928, 0.418], [0.582, 0.582, 0.072], [0.928, 0.418, 0.418], [0.000, 0.000, 0.000], [0.858, 0.858, 0.858], [0.142, 0.142, 0.142], [0.335, 0.335, 0.335], [0.665, 0.665, 0.665]]
}

=====

# 15
{
  "formula": "GdHo2Al3CuNi2",
  "functional": "PBE",
  "state": "relaxed",
  "crystal_system": "orthorhombic",
  "cell": [[-0.430, -3.886, 0.563], [6.874, -0.652, 0.749], [-3.986, 1.244, 5.549]],
  "species": ["Ni", "Ni", "Al", "Al", "Al", "Ho", "Ho", "Cu", "Gd"],
  "fractional_positions": [[0.500, 0.668, 0.331], [0.500, 0.331, 0.668], [0.500, 0.238, 0.238], [0.500, 0.761, 0.002], [0.500, 0.002, 0.761], [0.000, 0.418, 0.999], [0.000, 0.999, 0.418], [0.000, 0.002, 0.002], [0.000, 0.581, 0.581]]
}

=====

# 16
{
  "formula": "Gd3Al3Cu2Ir",
  "functional": "PBE",
  "state": "relaxed",
  "crystal_system": "hexagonal",
  "cell": [[-6.531, 1.166, 2.388], [0.986, -3.789, -5.864], [0.211, -3.437, 2.256]],
  "species": ["Cu", "Cu", "Al", "Al", "Al", "Gd", "Gd", "Gd", "Ir"],
  "fractional_positions": [[0.333, 0.667, 0.500], [0.667, 0.333, 0.500], [0.000, 0.231, 0.500], [0.231, 0.000, 0.500], [0.769, 0.769, 0.500], [0.420, 0.420, 0.000], [0.000, 0.580, 0.000], [0.580, 0.000, 0.000], [0.000, 0.000, 0.000]]
}

=====

# 17
{
  "formula": "La2GdAl7Cu2",
  "functional": "PBE",
  "state": "relaxed",
  "crystal_system": "trigonal",
  "cell": [[-1.133, -9.171, 0.171], [2.632, -7.859, 4.088], [-2.819, -7.167, 5.109]],
  "species": ["Cu", "Cu", "Al", "Al", "Al", "Al", "Al", "Al", "Al", "Gd", "La", "La"],
  "fractional_positions": [[0.336, 0.336, 0.336], [0.664, 0.664, 0.664], [0.422, 0.929, 0.422], [0.500, 0.500, 0.500], [0.578, 0.578, 0.071], [0.929, 0.422, 0.422], [0.071, 0.578, 0.578], [0.578, 0.071, 0.578], [0.422, 0.422, 0.929], [0.000, 0.000, 0.000], [0.858, 0.858, 0.858], [0.142, 0.142, 0.142]]
}

=====

# 18
{
  "formula": "LaGd2Al7Cu2",
  "functional": "PBE",
  "state": "relaxed",
  "crystal_system": "trigonal",
  "cell": [[6.002, -2.473, 6.474], [6.098, -6.367, 2.517], [8.849, -1.598, 1.787]],
  "species": ["Al", "Al", "Al", "Al", "Al", "Al", "Al", "Gd", "Gd", "Cu", "Cu", "La"],
  "fractional_positions": [[0.417, 0.927, 0.417], [0.417, 0.417, 0.927], [0.583, 0.583, 0.073], [0.073, 0.583, 0.583], [0.927, 0.417, 0.417], [0.500, 0.500, 0.500], [0.583, 0.073, 0.583], [0.142, 0.142, 0.142], [0.858, 0.858, 0.858], [0.665, 0.665, 0.665], [0.335, 0.335, 0.335], [0.000, 0.000, 0.000]]
}

=====

# 19
{
  "formula": "Gd2LuAl7Cu2",
  "functional": "PBE",
  "state": "relaxed",
  "crystal_system": "trigonal",
  "cell": [[2.744, 1.584, 8.470], [-2.744, 1.584, 8.470], [0.000, -3.168, 8.470]],
  "species": ["Al", "Al", "Al", "Al", "Al", "Al", "Al", "Cu", "Cu", "Lu", "Gd", "Gd"],
  "fractional_positions": [[0.419, 0.419, 0.928], [0.419, 0.928, 0.419], [0.072, 0.581, 0.581], [0.581, 0.072, 0.581], [0.500, 0.500, 0.500], [0.928, 0.419, 0.419], [0.581, 0.581, 0.072], [0.665, 0.665, 0.665], [0.335, 0.335, 0.335], [0.000, 0.000, 0.000], [0.858, 0.858, 0.858], [0.142, 0.142, 0.142]]
}

=====

# 20
{
  "formula": "Gd3Mg3AlCu2",
  "functional": "PBE",
  "state": "relaxed",
  "crystal_system": "hexagonal",
  "cell": [[7.317, 0.000, 0.000], [-3.658, 6.336, 0.000], [0.000, 0.000, 4.368]],
  "species": ["Mg", "Mg", "Mg", "Gd", "Gd", "Gd", "Cu", "Cu", "Al"],
  "fractional_positions": [[0.000, 0.247, 0.500], [0.753, 0.753, 0.500], [0.247, 0.000, 0.500], [0.576, 0.000, 0.000], [0.000, 0.576, 0.000], [0.424, 0.424, 0.000], [0.667, 0.333, 0.500], [0.333, 0.667, 0.500], [0.000, 0.000, 0.000]]
}

=====

Number 1: uncorrected energy -5.552 eV/atom. Number 2: uncorrected energy -5.178 eV/atom. Number 3: uncorrected energy -4.335 eV/atom. Number 4: uncorrected energy -4.378 eV/atom. Number 5: uncorrected energy -4.549 eV/atom. Number 6: uncorrected energy -4.901 eV/atom. Number 7: uncorrected energy -4.852 eV/atom. Number 8: uncorrected energy -5.311 eV/atom. Number 9: uncorrected energy -5.107 eV/atom. Number 10: uncorrected energy -5.294 eV/atom. Number 11: uncorrected energy -5.882 eV/atom. Number 12: uncorrected energy -4.448 eV/atom. Number 13: uncorrected energy -4.394 eV/atom. Number 14: uncorrected energy -4.445 eV/atom. Number 15: uncorrected energy -4.982 eV/atom. Number 16: uncorrected energy -5.187 eV/atom. Number 17: uncorrected energy -4.478 eV/atom. Number 18: uncorrected energy -4.496 eV/atom. Number 19: uncorrected energy -4.420 eV/atom. Number 20: uncorrected energy -3.508 eV/atom.